DFT (PBE-GGA) results for a relaxed PrGe2Pb crystal.

abc: 4.327 4.771 4.771
angles: 90.00 90.00 90.00
Element x y z (fractional)
Pb 0.500 0.000 0.000
Ge 0.000 0.000 0.500
Ge 0.000 0.500 0.000
Pr 0.500 0.500 0.500

Space group: P4/mmm (123)
Fermi-level density of states: 1.97 states/eV per cell
Energy relative to the elements: -355 meV/atom